# YEr2PuP4, relaxed, DFT PBE
data_YEr2PuP4
_space_group_name_H-M_alt 'P 1 2/m 1'
_space_group_IT_number 10
_cell_length_a 6.889
_cell_length_b 3.992
_cell_length_c 6.892
_cell_angle_alpha 90.00
_cell_angle_beta 109.50
_cell_angle_gamma 90.00
loop_
_space_group_symop_operation_xyz
'x,y,z'
'-x,-y,-z'
'-x,y,-z'
'x,-y,z'
loop_
_atom_site_label
_atom_site_fract_x
_atom_site_fract_y
_atom_site_fract_z
Y1 0.000 0.000 0.000
Er1 0.500 0.000 0.500
Er2 0.500 0.500 0.000
Pu1 0.000 0.500 0.500
P1 0.249 0.000 0.747
P2 0.251 0.500 0.253
# E_form = -1.49 eV/atom
# Spin magnetization = 4.9 μB per formula unit
# Fermi-level density of states = 1.4341 states/eV/atom
# E = -63.5 eV per cell